#a
This record from Alexandria describes a relaxed structure of In6SnPb3. The functional is PBE.

Mass density, g/cm3: 7.9

Unit cell a=6.1270 b=6.1270 c=9.2598 alpha=90.00 beta=90.00 gamma=120.00
With the nearest neighbours (Å) after each atom.
Element x y z (fractional)
In: 0.0000 0.4069 0.3126  1 Sn 3.04, 4 In 3.22
In: 0.0000 0.5931 0.6874  1 Sn 3.04, 4 In 3.22
In: 0.4069 0.0000 0.3126  1 Sn 3.04, 4 In 3.22
In: 0.4069 0.4069 0.6874  1 Sn 3.04, 4 In 3.22
In: 0.5931 0.0000 0.6874  1 Sn 3.04, 4 In 3.22
In: 0.5931 0.5931 0.3126  1 Sn 3.04, 4 In 3.22
Sn: 0.0000 0.0000 0.5000  6 In 3.04
Pb: 0.0000 0.0000 0.0000  6 Pb 3.54, 6 In 3.82
Pb: 0.3333 0.6667 0.0000  6 In 3.44, 6 Pb 3.54
Pb: 0.6667 0.3333 0.0000  6 In 3.44, 6 Pb 3.54

#b
This record from Alexandria describes a relaxed structure of In6SnPb3. The functional is PBE.

Mass density, g/cm3: 7.9

Unit cell a=10.5089 b=5.0847 c=11.6171 alpha=90.00 beta=105.43 gamma=90.00
With the nearest neighbours (Å) after each atom.
Element x y z (fractional)
In: 0.0061 0.2500 0.3871  3 Sn 3.17-3.21, 3 Pb 3.32-3.53, 1 In 3.38
In: 0.1036 0.2500 0.0452  3 In 3.19-3.33, 6 Pb 3.22-3.53
In: 0.2650 0.7500 0.5080  2 Sn 3.27, 5 In 3.30-3.38, 3 Pb 3.35-3.52
In: 0.3426 0.2500 0.9241  1 Sn 3.14, 3 In 3.17-3.19, 3 Pb 3.32-3.40
In: 0.4209 0.7500 0.7952  6 In 3.17-3.54, 3 Pb 3.38-3.51
In: 0.4742 0.2500 0.6015  1 Sn 3.23, 7 In 3.31-3.60, 4 Pb 3.32-3.40
In: 0.5258 0.7500 0.3985  1 Sn 3.23, 7 In 3.31-3.60, 4 Pb 3.32-3.40
In: 0.5791 0.2500 0.2048  6 In 3.17-3.54, 3 Pb 3.38-3.51
In: 0.6574 0.7500 0.0759  1 Sn 3.14, 3 In 3.17-3.19, 3 Pb 3.32-3.40
In: 0.7350 0.2500 0.4920  2 Sn 3.27, 5 In 3.30-3.38, 3 Pb 3.35-3.52
In: 0.8964 0.7500 0.9548  3 In 3.19-3.33, 6 Pb 3.22-3.53
In: 0.9939 0.7500 0.6129  3 Sn 3.17-3.21, 3 Pb 3.32-3.53, 1 In 3.38
Sn: 0.1871 0.2500 0.6533  7 In 3.14-3.27, 1 Pb 3.35
Sn: 0.8129 0.7500 0.3467  7 In 3.14-3.27, 1 Pb 3.35
Pb: 0.0712 0.7500 0.2282  6 In 3.22-3.39, 1 Sn 3.35, 3 Pb 3.51-3.53
Pb: 0.3112 0.2500 0.3140  8 In 3.30-3.53, 4 Pb 3.53-3.57
Pb: 0.3448 0.7500 0.1084  8 In 3.32-3.53, 3 Pb 3.51-3.57
Pb: 0.6552 0.2500 0.8916  8 In 3.32-3.53, 3 Pb 3.51-3.57
Pb: 0.6888 0.7500 0.6860  8 In 3.30-3.53, 4 Pb 3.53-3.57
Pb: 0.9288 0.2500 0.7718  6 In 3.22-3.39, 1 Sn 3.35, 3 Pb 3.51-3.53

Which of them is most stable, and which least? Most stable: #b; least stable: #a.

#a
This record from Alexandria describes a relaxed structure of In5Sn2Pb12. The functional is PBE.

Mass density, g/cm3: 8.8

Unit cell a=10.0915 b=10.0915 c=9.5478 alpha=101.23 beta=101.23 gamma=40.99
With the nearest neighbours (Å) after each atom.
Element x y z (fractional)
In: 0.0000 0.0000 0.0000  6 Pb 3.10-3.11
In: 0.2529 0.2529 0.0217  8 Pb 3.32-3.51, 2 In 3.56
In: 0.3968 0.3968 0.6034  2 Sn 3.07, 4 Pb 3.17-3.29
In: 0.6032 0.6032 0.3966  2 Sn 3.07, 4 Pb 3.17-3.29
In: 0.7471 0.7471 0.9783  8 Pb 3.32-3.51, 2 In 3.56
Sn: 0.2236 0.7764 0.5000  2 In 3.07, 1 Sn 3.16, 2 Pb 3.29
Sn: 0.7764 0.2236 0.5000  2 In 3.07, 1 Sn 3.16, 2 Pb 3.29
Pb: 0.0494 0.5282 0.3505  5 Pb 3.24-3.60, 2 In 3.29-3.51
Pb: 0.0980 0.0980 0.7761  2 In 3.11-3.35, 2 Pb 3.24, 2 Sn 3.29
Pb: 0.1342 0.6092 0.8700  4 In 3.10-3.36, 2 Pb 3.32-3.36
Pb: 0.3908 0.8658 0.1300  4 In 3.10-3.36, 2 Pb 3.32-3.36
Pb: 0.4236 0.4236 0.2001  2 In 3.32-3.52, 2 Sn 3.52, 6 Pb 3.53-3.60
Pb: 0.4718 0.9506 0.6495  5 Pb 3.24-3.60, 2 In 3.29-3.51
Pb: 0.5282 0.0494 0.3505  5 Pb 3.24-3.60, 2 In 3.29-3.51
Pb: 0.5764 0.5764 0.7999  2 In 3.32-3.52, 2 Sn 3.52, 6 Pb 3.53-3.60
Pb: 0.6092 0.1342 0.8700  4 In 3.10-3.36, 2 Pb 3.32-3.36
Pb: 0.8658 0.3908 0.1300  4 In 3.10-3.36, 2 Pb 3.32-3.36
Pb: 0.9020 0.9020 0.2239  2 In 3.11-3.35, 2 Pb 3.24, 2 Sn 3.29
Pb: 0.9506 0.4718 0.6495  5 Pb 3.24-3.60, 2 In 3.29-3.51

#b
This record from Alexandria describes a relaxed structure of In5Sn2Pb12. The functional is PBE.

Mass density, g/cm3: 9.3

Unit cell a=10.2873 b=10.2873 c=6.1217 alpha=100.46 beta=100.46 gamma=68.12
With the nearest neighbours (Å) after each atom.
Element x y z (fractional)
In: 0.0000 0.0000 0.0000  8 Pb 3.33-3.69, 2 In 3.46
In: 0.2070 0.2070 0.0734  6 Pb 3.33-3.62, 3 In 3.46-3.61
In: 0.3152 0.3152 0.6512  9 Pb 3.38-3.74, 2 In 3.49-3.61
In: 0.6848 0.6848 0.3488  9 Pb 3.38-3.74, 2 In 3.49-3.61
In: 0.7930 0.7930 0.9266  6 Pb 3.33-3.62, 3 In 3.46-3.61
Sn: 0.2540 0.7460 0.5000  8 Pb 3.20-3.40
Sn: 0.7460 0.2540 0.5000  8 Pb 3.20-3.40
Pb: 0.0719 0.5403 0.3048  1 Sn 3.26, 6 Pb 3.31-3.62, 2 In 3.33-3.41
Pb: 0.1030 0.1030 0.5296  5 In 3.33-3.69, 2 Sn 3.40, 3 Pb 3.45-3.48
Pb: 0.1525 0.6483 0.8871  1 Sn 3.20, 5 Pb 3.31-3.58, 3 In 3.36-3.47
Pb: 0.3517 0.8475 0.1129  1 Sn 3.20, 5 Pb 3.31-3.58, 3 In 3.36-3.47
Pb: 0.4369 0.4369 0.2159  2 Sn 3.38, 6 Pb 3.47-3.76, 2 In 3.62-3.72
Pb: 0.4597 0.9281 0.6952  1 Sn 3.26, 6 Pb 3.31-3.62, 2 In 3.33-3.41
Pb: 0.5403 0.0719 0.3048  1 Sn 3.26, 6 Pb 3.31-3.62, 2 In 3.33-3.41
Pb: 0.5631 0.5631 0.7841  2 Sn 3.38, 6 Pb 3.47-3.76, 2 In 3.62-3.72
Pb: 0.6483 0.1525 0.8871  1 Sn 3.20, 5 Pb 3.31-3.58, 3 In 3.36-3.47
Pb: 0.8475 0.3517 0.1129  1 Sn 3.20, 5 Pb 3.31-3.58, 3 In 3.36-3.47
Pb: 0.8970 0.8970 0.4704  5 In 3.33-3.69, 2 Sn 3.40, 3 Pb 3.45-3.48
Pb: 0.9281 0.4597 0.6952  1 Sn 3.26, 6 Pb 3.31-3.62, 2 In 3.33-3.41

Which of them is most stable, and which least? Most stable: #b; least stable: #a.